No. 1
Below is Ca3LaHg after structural relaxation, with properties calculated at the PBE level.

Results
energy above the most stable polymorph in this dataset: 833 meV/atom
energy of formation: 0.8378 eV per atom
space-group type: Pm-3m (221)
total moment: 0.000 μB/atom

Unit cell a=5.8851 b=5.8851 c=5.8851 alpha=90.00 beta=90.00 gamma=90.00
Fractional coordinates of all 5 atoms:
Ca (0.0000, 0.0000, 0.5000)
Ca (0.0000, 0.5000, 0.0000)
Ca (0.5000, 0.0000, 0.0000)
La (0.0000, 0.0000, 0.0000)
Hg (0.5000, 0.5000, 0.5000)

No. 2
Below is Ca3La2Hg4 after structural relaxation, with properties calculated at the PBE level.

Results
energy of formation: -0.4543 eV per atom
space-group type: C2/m (12)
total moment: 0.000 μB/atom

Unit cell a=5.4038 b=5.4038 c=10.6981 alpha=90.11 beta=90.11 gamma=59.91
Fractional coordinates of all 9 atoms:
Ca (0.0000, 0.0000, 0.0000)
Ca (0.3343, 0.3343, 0.4117)
Ca (0.6657, 0.6657, 0.5883)
La (0.3327, 0.3327, 0.7973)
La (0.6673, 0.6673, 0.2027)
Hg (0.0014, 0.0014, 0.3383)
Hg (0.3338, 0.3338, 0.1038)
Hg (0.6662, 0.6662, 0.8962)
Hg (0.9986, 0.9986, 0.6617)

No. 3
Below is Ca2LaHg after structural relaxation, with properties calculated at the PBE level.

Results
energy of formation: -0.2189 eV per atom
space-group type: P4/mmm (123)
total moment: 0.000 μB/atom

Unit cell a=3.7014 b=3.7014 c=9.8352 alpha=90.00 beta=90.00 gamma=90.00
Fractional coordinates of all 4 atoms:
Ca (0.0000, 0.0000, 0.1984)
Ca (0.0000, 0.0000, 0.8016)
La (0.5000, 0.5000, 0.5000)
Hg (0.5000, 0.5000, 0.0000)

No. 4
Below is CaLa2Hg2 after structural relaxation, with properties calculated at the PBE level.

Results
energy above the most stable polymorph in this dataset: 107 meV/atom
energy of formation: -0.3142 eV per atom
space-group type: P4/mbm (127)
total moment: 0.000 μB/atom

Unit cell a=9.2472 b=9.2472 c=3.6331 alpha=90.00 beta=90.00 gamma=90.00
Fractional coordinates of all 10 atoms:
Ca (0.0000, 0.0000, 0.0000)
Ca (0.5000, 0.5000, 0.0000)
La (0.1203, 0.3797, 0.0000)
La (0.3797, 0.8797, 0.0000)
La (0.6203, 0.1203, 0.0000)
La (0.8797, 0.6203, 0.0000)
Hg (0.1751, 0.6751, 0.5000)
Hg (0.3249, 0.1751, 0.5000)
Hg (0.6751, 0.8249, 0.5000)
Hg (0.8249, 0.3249, 0.5000)

No. 5
Below is Ca3LaHg after structural relaxation, with properties calculated at the PBE level.

Results
energy above the most stable polymorph in this dataset: 0 meV/atom
energy of formation: 0.0046 eV per atom
space-group type: Pm-3m (221)
total moment: 0.000 μB/atom

Unit cell a=5.8555 b=5.8555 c=5.8555 alpha=90.00 beta=90.00 gamma=90.00
Fractional coordinates of all 5 atoms:
Ca (0.0000, 0.0000, 0.5000)
Ca (0.0000, 0.5000, 0.0000)
Ca (0.5000, 0.0000, 0.0000)
La (0.5000, 0.5000, 0.5000)
Hg (0.0000, 0.0000, 0.0000)

No. 6
Below is CaLa5Hg3 after structural relaxation, with properties calculated at the PBE level.

Results
energy of formation: -0.3177 eV per atom
space-group type: P6_3/mcm (193)
total moment: 0.000 μB/atom

Unit cell a=9.5785 b=9.5785 c=7.1431 alpha=90.00 beta=90.00 gamma=120.00
Fractional coordinates of all 18 atoms:
Ca (0.0000, 0.0000, 0.0000)
Ca (0.0000, 0.0000, 0.5000)
La (0.0000, 0.3345, 0.2500)
La (0.0000, 0.6655, 0.7500)
La (0.3333, 0.6667, 0.0000)
La (0.3333, 0.6667, 0.5000)
La (0.3345, 0.0000, 0.2500)
La (0.3345, 0.3345, 0.7500)
La (0.6655, 0.0000, 0.7500)
La (0.6655, 0.6655, 0.2500)
La (0.6667, 0.3333, 0.0000)
La (0.6667, 0.3333, 0.5000)
Hg (0.0000, 0.3285, 0.7500)
Hg (0.0000, 0.6715, 0.2500)
Hg (0.3285, 0.0000, 0.7500)
Hg (0.3285, 0.3285, 0.2500)
Hg (0.6715, 0.0000, 0.2500)
Hg (0.6715, 0.6715, 0.7500)

No. 7
Below is CaLa2Hg2 after structural relaxation, with properties calculated at the PBE level.

Results
energy above the most stable polymorph in this dataset: 180 meV/atom
energy of formation: -0.2413 eV per atom
space-group type: I4/mmm (139)
total moment: 0.000 μB/atom

Unit cell a=8.0530 b=8.0530 c=8.0530 alpha=145.65 beta=145.65 gamma=49.36
Fractional coordinates of all 5 atoms:
Ca (0.0000, 0.0000, 0.0000)
La (0.2500, 0.7500, 0.5000)
La (0.7500, 0.2500, 0.5000)
Hg (0.4043, 0.4043, 0.0000)
Hg (0.5957, 0.5957, 0.0000)

No. 8
Below is CaLaHg14 after structural relaxation, with properties calculated at the PBE level.

Results
energy of formation: -0.2025 eV per atom
space-group type: P4/mmm (123)
total moment: 0.000 μB/atom

Unit cell a=6.8070 b=6.8070 c=8.9694 alpha=90.00 beta=90.00 gamma=90.00
Fractional coordinates of all 16 atoms:
Ca (0.0000, 0.0000, 0.0000)
La (0.5000, 0.5000, 0.0000)
Hg (0.0000, 0.0000, 0.5000)
Hg (0.0000, 0.5000, 0.0000)
Hg (0.0000, 0.5000, 0.5000)
Hg (0.2470, 0.2470, 0.2565)
Hg (0.2470, 0.2470, 0.7435)
Hg (0.2470, 0.7530, 0.2565)
Hg (0.2470, 0.7530, 0.7435)
Hg (0.5000, 0.0000, 0.0000)
Hg (0.5000, 0.0000, 0.5000)
Hg (0.5000, 0.5000, 0.5000)
Hg (0.7530, 0.2470, 0.2565)
Hg (0.7530, 0.2470, 0.7435)
Hg (0.7530, 0.7530, 0.2565)
Hg (0.7530, 0.7530, 0.7435)

No. 9
Below is Ca2LaHg7 after structural relaxation, with properties calculated at the PBE level.

Results
energy of formation: -0.3490 eV per atom
space-group type: P3m1 (156)
total moment: 0.000 μB/atom

Unit cell a=5.2021 b=5.2021 c=11.9257 alpha=90.00 beta=90.00 gamma=120.00
Fractional coordinates of all 10 atoms:
Ca (0.0000, 0.0000, 0.0000)
Ca (0.3333, 0.6667, 0.6121)
La (0.6667, 0.3333, 0.3718)
Hg (0.0000, 0.0000, 0.2545)
Hg (0.0000, 0.0000, 0.5007)
Hg (0.0000, 0.0000, 0.7483)
Hg (0.3333, 0.6667, 0.2281)
Hg (0.3333, 0.6667, 0.8912)
Hg (0.6667, 0.3333, 0.0856)
Hg (0.6667, 0.3333, 0.6614)

No. 10
Below is Ca4LaHg5 after structural relaxation, with properties calculated at the PBE level.

Results
energy of formation: -0.5424 eV per atom
space-group type: P4/mmm (123)
total moment: 0.024 μB/atom

Unit cell a=3.8153 b=3.8153 c=19.1008 alpha=90.00 beta=90.00 gamma=90.00
Fractional coordinates of all 10 atoms:
Ca (0.0000, 0.0000, 0.0988)
Ca (0.0000, 0.0000, 0.2953)
Ca (0.0000, 0.0000, 0.7047)
Ca (0.0000, 0.0000, 0.9012)
La (0.0000, 0.0000, 0.5000)
Hg (0.5000, 0.5000, 0.0000)
Hg (0.5000, 0.5000, 0.1966)
Hg (0.5000, 0.5000, 0.3949)
Hg (0.5000, 0.5000, 0.6051)
Hg (0.5000, 0.5000, 0.8034)

No. 11
Below is LiCaLa2Hg4 after structural relaxation, with properties calculated at the PBE level.

Results
energy of formation: -0.5025 eV per atom
space-group type: R-3m (166)
total moment: 0.000 μB/atom

Unit cell a=9.2637 b=9.2637 c=9.2637 alpha=33.59 beta=33.59 gamma=33.59
Fractional coordinates of all 8 atoms:
Li (0.0000, 0.0000, 0.0000)
Ca (0.5000, 0.5000, 0.5000)
La (0.2525, 0.2525, 0.2525)
La (0.7475, 0.7475, 0.7475)
Hg (0.1231, 0.1231, 0.1231)
Hg (0.3745, 0.3745, 0.3745)
Hg (0.6255, 0.6255, 0.6255)
Hg (0.8769, 0.8769, 0.8769)

No. 12
Below is LiCa2LaHg4 after structural relaxation, with properties calculated at the PBE level.

Results
energy of formation: -0.4713 eV per atom
space-group type: R-3m (166)
total moment: 0.000 μB/atom

Unit cell a=9.3556 b=9.3556 c=9.3556 alpha=32.75 beta=32.75 gamma=32.75
Fractional coordinates of all 8 atoms:
Li (0.0000, 0.0000, 0.0000)
Ca (0.2560, 0.2560, 0.2560)
Ca (0.7440, 0.7440, 0.7440)
La (0.5000, 0.5000, 0.5000)
Hg (0.1194, 0.1194, 0.1194)
Hg (0.3744, 0.3744, 0.3744)
Hg (0.6256, 0.6256, 0.6256)
Hg (0.8806, 0.8806, 0.8806)

No. 13
Below is Li2CaLaHg2 after structural relaxation, with properties calculated at the PBE level.

Results
energy of formation: -0.3406 eV per atom
space-group type: P-3m1 (164)
total moment: 0.000 μB/atom

Unit cell a=4.9251 b=4.9251 c=7.2079 alpha=90.00 beta=90.00 gamma=120.00
Fractional coordinates of all 6 atoms:
Li (0.3333, 0.6667, 0.2267)
Li (0.6667, 0.3333, 0.7733)
Ca (0.0000, 0.0000, 0.0000)
La (0.0000, 0.0000, 0.5000)
Hg (0.3333, 0.6667, 0.7517)
Hg (0.6667, 0.3333, 0.2483)

No. 14
Below is CaLaMg2Hg4 after structural relaxation, with properties calculated at the PBE level.

Results
energy of formation: -0.4526 eV per atom
space-group type: R-3m (166)
total moment: 0.000 μB/atom

Unit cell a=9.1719 b=9.1719 c=9.1719 alpha=32.56 beta=32.56 gamma=32.56
Fractional coordinates of all 8 atoms:
Ca (0.0000, 0.0000, 0.0000)
La (0.5000, 0.5000, 0.5000)
Mg (0.2514, 0.2514, 0.2514)
Mg (0.7486, 0.7486, 0.7486)
Hg (0.1197, 0.1197, 0.1197)
Hg (0.3739, 0.3739, 0.3739)
Hg (0.6261, 0.6261, 0.6261)
Hg (0.8803, 0.8803, 0.8803)

No. 15
Below is CaLa2MnHg after structural relaxation, with properties calculated at the PBE level.

Results
energy of formation: 1.5063 eV per atom
space-group type: P4/mmm (123)
total moment: 0.009 μB/atom

Unit cell a=5.8206 b=5.8206 c=5.2552 alpha=90.00 beta=90.00 gamma=90.00
Fractional coordinates of all 5 atoms:
Ca (0.0000, 0.0000, 0.0000)
La (0.0000, 0.5000, 0.0000)
La (0.5000, 0.0000, 0.0000)
Mn (0.5000, 0.5000, 0.5000)
Hg (0.0000, 0.0000, 0.5000)

No. 16
Below is Ca3La4Hg3N2 after structural relaxation, with properties calculated at the PBE level.

Results
space-group type: Immm (71)
total moment: 0.000 μB/atom
E_form (uncorrected): -0.70 eV/atom

Unit cell a=12.9351 b=12.9351 c=12.9351 alpha=157.61 beta=156.91 gamma=32.38
Fractional coordinates of all 12 atoms:
Ca (0.0000, 0.0000, 0.0000)
Ca (0.0936, 0.5936, 0.5000)
Ca (0.9064, 0.4064, 0.5000)
La (0.1964, 0.1964, 0.0000)
La (0.4075, 0.9075, 0.5000)
La (0.5925, 0.0925, 0.5000)
La (0.8036, 0.8036, 0.0000)
Hg (0.3251, 0.3251, 0.0000)
Hg (0.5000, 0.5000, 0.0000)
Hg (0.6749, 0.6749, 0.0000)
N (0.1031, 0.1031, 0.0000)
N (0.8969, 0.8969, 0.0000)

No. 17
Below is CaLa2HgN after structural relaxation, with properties calculated at the PBE level.

Results
space-group type: P4/mmm (123)
total moment: 0.000 μB/atom
E_form (uncorrected): -0.76 eV/atom

Unit cell a=5.1111 b=5.1111 c=4.9227 alpha=90.00 beta=90.00 gamma=90.00
Fractional coordinates of all 5 atoms:
Ca (0.0000, 0.0000, 0.0000)
La (0.0000, 0.5000, 0.5000)
La (0.5000, 0.0000, 0.5000)
Hg (0.5000, 0.5000, 0.0000)
N (0.0000, 0.0000, 0.5000)

No. 18
Below is Ca2LaHgN after structural relaxation, with properties calculated at the PBE level.

Results
space-group type: P4/mmm (123)
total moment: 0.000 μB/atom
E_form (uncorrected): -0.71 eV/atom

Unit cell a=5.0182 b=5.0182 c=4.9575 alpha=90.00 beta=90.00 gamma=90.00
Fractional coordinates of all 5 atoms:
Ca (0.0000, 0.5000, 0.0000)
Ca (0.5000, 0.0000, 0.0000)
La (0.0000, 0.0000, 0.5000)
Hg (0.5000, 0.5000, 0.5000)
N (0.0000, 0.0000, 0.0000)

No. 19
Below is NaCaLa2Hg after structural relaxation, with properties calculated at the PBE level.

Results
energy of formation: 0.7594 eV per atom
space-group type: P4/mmm (123)
total moment: 0.000 μB/atom

Unit cell a=5.9591 b=5.9591 c=5.4595 alpha=90.00 beta=90.00 gamma=90.00
Fractional coordinates of all 5 atoms:
Na (0.0000, 0.0000, 0.0000)
Ca (0.0000, 0.0000, 0.5000)
La (0.0000, 0.5000, 0.5000)
La (0.5000, 0.0000, 0.5000)
Hg (0.5000, 0.5000, 0.0000)

No. 20
Below is Na2CaLaHg after structural relaxation, with properties calculated at the PBE level.

Results
energy of formation: 0.1984 eV per atom
space-group type: P4/mmm (123)
total moment: 0.000 μB/atom

Unit cell a=5.5942 b=5.5942 c=5.9120 alpha=90.00 beta=90.00 gamma=90.00
Fractional coordinates of all 5 atoms:
Na (0.0000, 0.5000, 0.0000)
Na (0.5000, 0.0000, 0.0000)
Ca (0.0000, 0.0000, 0.5000)
La (0.5000, 0.5000, 0.5000)
Hg (0.0000, 0.0000, 0.0000)

No. 21
Below is CaLaNd2Hg4 after structural relaxation, with properties calculated at the PBE level.

Results
energy of formation: -0.5105 eV per atom
space-group type: R-3m (166)
total moment: 0.000 μB/atom

Unit cell a=9.4516 b=9.4516 c=9.4516 alpha=33.38 beta=33.38 gamma=33.38
Fractional coordinates of all 8 atoms:
Ca (0.0000, 0.0000, 0.0000)
La (0.5000, 0.5000, 0.5000)
Nd (0.2530, 0.2530, 0.2530)
Nd (0.7470, 0.7470, 0.7470)
Hg (0.1238, 0.1238, 0.1238)
Hg (0.3749, 0.3749, 0.3749)
Hg (0.6251, 0.6251, 0.6251)
Hg (0.8762, 0.8762, 0.8762)

No. 22
Below is CaLa2NiHg after structural relaxation, with properties calculated at the PBE level.

Results
energy above the most stable polymorph in this dataset: 52 meV/atom
energy of formation: -0.1417 eV per atom
space-group type: P4/mmm (123)
total moment: 0.000 μB/atom

Unit cell a=5.4386 b=5.4386 c=5.1886 alpha=90.00 beta=90.00 gamma=90.00
Fractional coordinates of all 5 atoms:
Ca (0.0000, 0.0000, 0.0000)
La (0.0000, 0.5000, 0.5000)
La (0.5000, 0.0000, 0.5000)
Ni (0.5000, 0.5000, 0.5000)
Hg (0.5000, 0.5000, 0.0000)

No. 23
Below is CaLa2NiHg after structural relaxation, with properties calculated at the PBE level.

Results
energy above the most stable polymorph in this dataset: 0 meV/atom
energy of formation: -0.1942 eV per atom
space-group type: P4/mmm (123)
total moment: 0.000 μB/atom

Unit cell a=5.3355 b=5.3355 c=5.5735 alpha=90.00 beta=90.00 gamma=90.00
Fractional coordinates of all 5 atoms:
Ca (0.0000, 0.0000, 0.0000)
La (0.0000, 0.5000, 0.5000)
La (0.5000, 0.0000, 0.5000)
Ni (0.0000, 0.0000, 0.5000)
Hg (0.5000, 0.5000, 0.0000)

No. 24
Below is Ca2LaNiHg after structural relaxation, with properties calculated at the PBE level.

Results
energy of formation: -0.1944 eV per atom
space-group type: P4/mmm (123)
total moment: 0.000 μB/atom

Unit cell a=5.4973 b=5.4973 c=5.2370 alpha=90.00 beta=90.00 gamma=90.00
Fractional coordinates of all 5 atoms:
Ca (0.0000, 0.5000, 0.0000)
Ca (0.5000, 0.0000, 0.0000)
La (0.0000, 0.0000, 0.5000)
Ni (0.0000, 0.0000, 0.0000)
Hg (0.5000, 0.5000, 0.5000)

No. 25
Below is CaLaHg2O after structural relaxation, with properties calculated at the PBE level.

Results
space-group type: P4/mmm (123)
total moment: 0.000 μB/atom
E_form (uncorrected): -1.00 eV/atom

Unit cell a=5.8063 b=5.8063 c=4.3182 alpha=90.00 beta=90.00 gamma=90.00
Fractional coordinates of all 5 atoms:
Ca (0.0000, 0.0000, 0.0000)
La (0.5000, 0.5000, 0.0000)
Hg (0.0000, 0.5000, 0.5000)
Hg (0.5000, 0.0000, 0.5000)
O (0.5000, 0.5000, 0.5000)